Density functional theory data (SCAN) for MnP at its PBEsol-relaxed geometry.

Results
SG: F-43m (216)
Magnetic moment: 1.413 μB/atom
Density of states at the Fermi level: 1.287 states/eV/f.u.
Energy relative to the elements: -0.14 eV/f.u.

Cell lengths 3.5525, 3.5525, 3.5525 Å; angles 60.00, 60.00, 60.00 degrees
With the nearest neighbours (Å) after each atom.
Fractional positions:
P  0.7500  0.7500  0.7500  4 Mn 2.18
Mn  0.0000  0.0000  0.0000  4 P 2.18